Crystalline Pm5Nd5Dy at its relaxed geometry, computed with PBE.

a = 6.1472 Å, b = 9.8820 Å, c = 7.0547 Å
α = 107.48°, β = 90.00°, γ = 108.12°
Last column: nearest neighbours and their distance in Å.
Atoms (fractional coordinates):
Pm: 0.8270 0.6540 0.0776  6 Nd 3.29-3.65, 2 Pm 3.45-3.60, 1 Dy 3.46
Pm: 0.8239 0.6478 0.5857  4 Nd 3.32-3.55, 2 Pm 3.45-3.60, 1 Dy 3.66
Pm: 0.5000 0.0000 0.0000  2 Nd 3.05, 2 Dy 3.07
Pm: 0.1761 0.3522 0.4143  4 Nd 3.32-3.55, 2 Pm 3.45-3.60, 1 Dy 3.66
Pm: 0.1730 0.3460 0.9224  6 Nd 3.29-3.65, 2 Pm 3.45-3.60, 1 Dy 3.46
Nd: 0.6701 0.3402 0.1906  3 Pm 3.05-3.32
Nd: 0.6261 0.2522 0.6486  4 Nd 3.58-3.82, 6 Pm 3.59-3.93
Nd: 0.0000 0.0000 0.5000  2 Dy 3.53, 4 Pm 3.55-3.65, 4 Nd 3.82
Nd: 0.3739 0.7478 0.3514  4 Nd 3.58-3.82, 6 Pm 3.59-3.93
Nd: 0.3299 0.6598 0.8094  3 Pm 3.05-3.32
Dy: 0.0000 0.0000 0.0000  2 Pm 3.07

Results
Formation enthalpy at 0 K, eV/atom: 0.24
Calculated total energy, eV per atom: -4.5080
Energy above the most stable polymorph in this dataset, eV/atom: 0.1026
Space group: C2/m
Magnetic moment, μB/f.u.: 0.00

***

Crystalline Pm3Nd2Dy3 at its relaxed geometry, computed with PBE.

a = 5.6326 Å, b = 6.6264 Å, c = 16.1462 Å
α = 90.00°, β = 90.00°, γ = 115.15°
Last column: nearest neighbours and their distance in Å.
Atoms (fractional coordinates):
Pm: 0.9238 0.8477 0.4064  2 Pm 3.39-3.53, 3 Nd 3.61-3.77, 5 Dy 3.69-3.73
Pm: 0.0762 0.1523 0.9064  2 Pm 3.39-3.53, 3 Nd 3.61-3.77, 5 Dy 3.69-3.73
Pm: 0.9238 0.8477 0.0936  2 Pm 3.39-3.53, 3 Nd 3.61-3.77, 5 Dy 3.69-3.73
Pm: 0.0762 0.1523 0.5936  2 Pm 3.39-3.53, 3 Nd 3.61-3.77, 5 Dy 3.69-3.73
Pm: 0.7355 0.4710 0.2500  3 Dy 3.31-3.51, 2 Pm 3.39, 4 Nd 3.44
Pm: 0.2645 0.5290 0.7500  3 Dy 3.31-3.51, 2 Pm 3.39, 4 Nd 3.44
Nd: 0.7792 0.5585 0.8719  4 Dy 3.32-3.48, 3 Pm 3.44-3.61
Nd: 0.2208 0.4415 0.3719  4 Dy 3.32-3.48, 3 Pm 3.44-3.61
Nd: 0.7792 0.5585 0.6281  4 Dy 3.32-3.48, 3 Pm 3.44-3.61
Nd: 0.2208 0.4415 0.1281  4 Dy 3.32-3.48, 3 Pm 3.44-3.61
Dy: 0.6188 0.2377 0.4497  1 Dy 3.28, 3 Nd 3.32-3.46, 1 Pm 3.51
Dy: 0.3812 0.7623 0.9497  1 Dy 3.28, 3 Nd 3.32-3.46, 1 Pm 3.51
Dy: 0.6188 0.2377 0.0503  1 Dy 3.28, 3 Nd 3.32-3.46, 1 Pm 3.51
Dy: 0.3812 0.7623 0.5503  1 Dy 3.28, 3 Nd 3.32-3.46, 1 Pm 3.51
Dy: 0.4599 0.9198 0.2500  1 Pm 3.31, 2 Nd 3.48
Dy: 0.5401 0.0802 0.7500  1 Pm 3.31, 2 Nd 3.48

Results
Formation enthalpy at 0 K, eV/atom: 0.13
Calculated total energy, eV per atom: -4.5709
Energy above the most stable polymorph in this dataset, eV/atom: 0.1114
Space group: Cmcm
Magnetic moment, μB/f.u.: 0.00

***

Crystalline Pm3Nd4Dy3 at its relaxed geometry, computed with PBE.

a = 3.8448 Å, b = 9.4584 Å, c = 9.4584 Å
α = 89.79°, β = 90.00°, γ = 90.00°
Last column: nearest neighbours and their distance in Å.
Atoms (fractional coordinates):
Pm: 0.0000 0.5033 0.0021  4 Nd 3.67-3.75, 4 Pm 3.84-4.04, 6 Dy 3.98-4.01
Pm: 0.0000 0.9979 0.4967  4 Nd 3.67-3.75, 4 Pm 3.84-4.04, 6 Dy 3.98-4.01
Pm: 0.5000 0.1689 0.8311  6 Nd 3.32-3.45
Nd: 0.0000 0.6292 0.3708  6 Dy 3.30-3.43, 1 Nd 3.44, 2 Pm 3.69
Nd: 0.0000 0.3716 0.6284  2 Pm 3.32, 4 Dy 3.43, 1 Nd 3.44
Nd: 0.0000 0.8687 0.8710  4 Dy 3.31-3.43, 3 Pm 3.45-3.67, 1 Nd 3.49
Nd: 0.0000 0.1290 0.1313  4 Dy 3.31-3.43, 3 Pm 3.45-3.67, 1 Nd 3.49
Dy: 0.5000 0.8305 0.1695  6 Nd 3.30-3.43
Dy: 0.5000 0.3314 0.3305  6 Nd 3.31-3.43
Dy: 0.5000 0.6695 0.6686  6 Nd 3.31-3.43

Results
Formation enthalpy at 0 K, eV/atom: 0.10
Calculated total energy, eV per atom: -4.6171
Space group: Amm2
Magnetic moment, μB/f.u.: 0.00